Record 1
A plane-wave DFT calculation with PBE was carried out for an optimized crystal structure of CdSn2HgMo.

```
CdSn2HgMo
1.0
5.563 0.000 0.000
0.000 5.563 0.000
0.000 0.000 5.182
Cd Sn Hg Mo
1 2 1 1
direct
0.000 0.000 0.000
0.000 0.500 0.500
0.500 0.000 0.500
0.000 0.000 0.500
0.500 0.500 0.000
```

Computed properties:
formation enthalpy at 0 K = 1.25 eV/atom
DOS(E_F) = 2.9 states/eV per cell
uncorrected energy = -2.76 eV/atom
total magnetic moment = 0.826 μB per atom

Record 2
A plane-wave DFT calculation with PBE was carried out for an optimized crystal structure of ZnCd2HgMo.

```
ZnCd2HgMo
1.0
5.348 0.000 0.000
0.000 5.348 0.000
0.000 0.000 5.517
Zn Cd Hg Mo
1 2 1 1
direct
0.000 0.000 0.000
0.000 0.500 0.500
0.500 0.000 0.500
0.500 0.500 0.500
0.500 0.500 0.000
```

Computed properties:
formation enthalpy at 0 K = 1.19 eV/atom
DOS(E_F) = 2.3 states/eV per cell
uncorrected energy = -1.66 eV/atom
total magnetic moment = 0.898 μB per atom

Record 3
A plane-wave DFT calculation with PBE was carried out for an optimized crystal structure of CdHg4N2.

```
CdHg4N2
1.0
8.878 0.000 0.000
0.000 9.823 0.000
-1.677 0.000 3.597
Cd Hg N
2 8 4
direct
0.000 0.000 0.000
0.500 0.500 0.000
0.000 0.256 0.500
0.000 0.744 0.500
0.216 0.500 0.173
0.284 0.000 0.827
0.500 0.244 0.500
0.500 0.756 0.500
0.716 0.000 0.173
0.784 0.500 0.827
0.000 0.334 0.000
0.000 0.666 0.000
0.500 0.166 0.000
0.500 0.834 0.000
```

Computed properties:
ΔE_f (raw) = 0.79 eV/atom
DOS(E_F) = 1.9 states/eV per cell
uncorrected energy = -1.89 eV/atom
total magnetic moment = 0.000 μB per atom

Record 4
A plane-wave DFT calculation with PBE was carried out for an optimized crystal structure of Cd3HgN.

```
Cd3HgN
1.0
5.360 0.000 0.000
0.000 5.360 0.000
0.000 0.000 5.360
Cd Hg N
3 1 1
direct
0.000 0.000 0.500
0.000 0.500 0.000
0.500 0.000 0.000
0.000 0.000 0.000
0.500 0.500 0.500
```

Computed properties:
energy above the most stable polymorph in this dataset = 1.0295 eV per atom
ΔE_f (raw) = 1.43 eV/atom
DOS(E_F) = 8.1 states/eV per cell
uncorrected energy = -0.84 eV/atom
total magnetic moment = 0.000 μB per atom

Record 5
A plane-wave DFT calculation with PBE was carried out for an optimized crystal structure of Cd2HgN2.

```
Cd2HgN2
1.0
3.040 0.000 0.000
0.000 5.539 0.000
-1.408 0.000 15.047
Cd Hg N
4 2 4
direct
0.094 0.000 0.191
0.406 0.500 0.809
0.594 0.500 0.191
0.906 0.000 0.809
0.000 0.500 0.000
0.500 0.000 0.000
0.019 0.000 0.537
0.481 0.500 0.463
0.519 0.500 0.537
0.981 0.000 0.463
```

Computed properties:
ΔE_f (raw) = 0.10 eV/atom
DOS(E_F) = 1.4 states/eV per cell
uncorrected energy = -3.66 eV/atom
total magnetic moment = 0.000 μB per atom

Record 6
A plane-wave DFT calculation with PBE was carried out for an optimized crystal structure of CdHg2N2.

```
CdHg2N2
1.0
5.829 0.000 0.000
0.000 3.365 0.000
-0.693 0.000 14.884
Cd Hg N
2 4 4
direct
0.000 0.000 0.000
0.500 0.500 0.000
0.139 0.500 0.810
0.361 0.000 0.190
0.639 0.000 0.810
0.861 0.500 0.190
0.006 0.500 0.537
0.494 0.000 0.463
0.506 0.000 0.537
0.994 0.500 0.463
```

Computed properties:
ΔE_f (raw) = 0.09 eV/atom
DOS(E_F) = 1.6 states/eV per cell
uncorrected energy = -3.55 eV/atom
total magnetic moment = 0.000 μB per atom